VASP calculation (PBE) on a relaxed Tl3NiCl7 crystal.

Cell and atoms, written as CIF:
```
data_Tl3NiCl7
_chemical_formula_sum 'Tl6 Ni2 Cl14'
_cell_length_a 9.4872
_cell_length_b 9.4872
_cell_length_c 6.7389
_cell_angle_alpha 90.00
_cell_angle_beta 90.00
_cell_angle_gamma 90.00
_symmetry_space_group_name_H-M 'P 4/m b m'
_symmetry_Int_Tables_number 127
_symmetry_space_group_name_Hall '-P 4 2ab'
loop_
_atom_site_label
_atom_site_fract_x
_atom_site_fract_y
_atom_site_fract_z
Tl1 0.0000 0.0000 0.0000
Tl2 0.1781 0.3219 0.5000
Ni1 0.0000 0.5000 0.0000
Cl1 0.0000 0.0000 0.5000
Cl2 0.1166 0.6166 0.2395
Cl3 0.1669 0.3331 0.0000
```

Summary:
**Raw total energy**: -3.0713 eV/atom
**Crystal system**: tetragonal
**Spin magnetization**: 0.00 μB/cell
**Formation energy (no corrections)**: -7.98 eV/f.u.

---

VASP calculation (PBE) on a relaxed LaTcPt2 crystal.

Cell and atoms, written as CIF:
```
data_LaTcPt2
_chemical_formula_sum 'La2 Tc2 Pt4'
_cell_length_a 9.5589
_cell_length_b 3.0392
_cell_length_c 5.4612
_cell_angle_alpha 90.00
_cell_angle_beta 101.55
_cell_angle_gamma 90.00
_symmetry_space_group_name_H-M 'C 1 m 1'
_symmetry_Int_Tables_number 8
loop_
_symmetry_equiv_pos_as_xyz
'x,y,z'
'x,-y,z'
'x+1/2,y+1/2,z'
'x+1/2,-y+1/2,z'
loop_
_atom_site_label
_atom_site_fract_x
_atom_site_fract_y
_atom_site_fract_z
La1 0.0000 0.0000 0.0000
Tc1 0.2450 0.0000 0.6593
Pt1 0.0108 0.5000 0.5276
Pt2 0.2633 0.5000 0.2682
```

Summary:
**DFT formation energy**: -0.2159 eV/atom
**Raw total energy**: -7.0597 eV/atom
**Crystal system**: monoclinic
**Spin magnetization**: 0.00 μB/cell

---

VASP calculation (PBE) on a relaxed Mg2TlPd6 crystal.

Cell and atoms, written as CIF:
```
data_Mg2TlPd6
_chemical_formula_sum 'Mg4 Tl2 Pd12'
_cell_length_a 7.6143
_cell_length_b 4.6855
_cell_length_c 8.3969
_cell_angle_alpha 90.00
_cell_angle_beta 95.71
_cell_angle_gamma 90.00
_symmetry_space_group_name_H-M 'C 1 2/m 1'
_symmetry_Int_Tables_number 12
loop_
_symmetry_equiv_pos_as_xyz
'x,y,z'
'-x,-y,-z'
'-x,y,-z'
'x,-y,z'
'x+1/2,y+1/2,z'
'-x+1/2,-y+1/2,-z'
'-x+1/2,y+1/2,-z'
'x+1/2,-y+1/2,z'
loop_
_atom_site_label
_atom_site_fract_x
_atom_site_fract_y
_atom_site_fract_z
Mg1 0.1565 0.0000 0.2584
Tl1 0.0000 0.5000 0.5000
Pd1 0.0056 0.5000 0.8331
Pd2 0.1704 0.0000 0.6127
Pd3 0.1704 0.0000 0.9477
```

Summary:
**DFT formation energy**: -0.4090 eV/atom
**Raw total energy**: -4.4882 eV/atom
**Crystal system**: monoclinic
**Spin magnetization**: 0.00 μB/cell

---

VASP calculation (PBE) on a relaxed Pm5ZnTe4 crystal.

Cell and atoms, written as CIF:
```
data_Pm5ZnTe4
_chemical_formula_sum 'Pm10 Zn2 Te8'
_cell_length_a 4.4347
_cell_length_b 4.4347
_cell_length_c 31.3504
_cell_angle_alpha 90.00
_cell_angle_beta 90.00
_cell_angle_gamma 90.00
_symmetry_space_group_name_H-M 'I 4/m m m'
_symmetry_Int_Tables_number 139
_symmetry_space_group_name_Hall '-I 4 2'
loop_
_atom_site_label
_atom_site_fract_x
_atom_site_fract_y
_atom_site_fract_z
Pm1 0.0000 0.0000 0.0000
Pm2 0.0000 0.0000 0.1989
Pm3 0.0000 0.0000 0.4035
Zn1 0.0000 0.0000 0.5000
Te1 0.0000 0.0000 0.1000
Te2 0.0000 0.0000 0.3014
```

Summary:
**Raw total energy**: -4.9333 eV/atom
**Crystal system**: tetragonal
**Spin magnetization**: 0.00 μB/cell
**Formation energy (no corrections)**: -11.74 eV/f.u.